Compound: DyTl2NiF6
Source: Alexandria via LeMat-Bulk
Functional: GGA+U
Structure: relaxed

Output
space group = Pmmn
final energy = -48.6 eV per formula unit

Cell: 5.983 5.988 10.152 Å, 90.00 90.00 90.00°
Atoms (fractional coordinates):
F1 0.757 0.997 0.000
F2 0.743 0.003 0.500
F3 0.500 0.254 0.785
F4 0.000 0.746 0.285
Ni1 0.000 0.754 0.000
F5 0.000 0.746 0.715
F6 0.243 0.997 0.000
Tl1 0.500 0.750 0.250
F7 0.243 0.511 0.000
Ni2 0.500 0.246 0.500
Dy1 0.000 0.747 0.500
F8 0.757 0.511 0.000
F9 0.743 0.489 0.500
F10 0.500 0.254 0.215
Tl2 0.500 0.750 0.750
Dy2 0.500 0.253 0.000
F11 0.257 0.003 0.500
Tl3 0.000 0.250 0.750
Tl4 0.000 0.250 0.250
F12 0.257 0.489 0.500